TlCoAgOs after structural relaxation, computed with PBE-GGA.

Computed properties:
* raw total energy: -5.002 eV per atom
* E above lowest polymorph: 0 kJ/mol of formula units

Cell: 6.4101 6.4101 6.4101 Å, 90.00 90.00 90.00°
Closest atoms and distances in Å follow each position.
Space group F-43m (No. 216)
Asymmetric unit:
Tl  0.0000  0.0000  0.0000  4 Ag 2.78, 4 Co 2.78
Co  0.2500  0.2500  0.2500  4 Tl 2.78, 4 Os 2.78
Ag  0.2500  0.2500  0.7500  4 Os 2.78, 4 Tl 2.78
Os  0.0000  0.0000  0.5000  4 Co 2.78, 4 Ag 2.78